# 1
VASP calculation (GGA-PBE) on a geometry-optimized K4Ce3NiS8 structure.

CIF file:
```
data_K4Ce3NiS8
_cell_length_a 14.3476
_cell_length_b 8.0507
_cell_length_c 8.7068
_cell_angle_alpha 90.00
_cell_angle_beta 122.52
_cell_angle_gamma 90.00
_space_group_name_H-M_alt 'C 1 2/m 1'
_space_group_IT_number 12
loop_
_space_group_symop_operation_xyz
'x,y,z'
'-x,-y,-z'
'-x,y,-z'
'x,-y,z'
'x+1/2,y+1/2,z'
'-x+1/2,-y+1/2,-z'
'-x+1/2,y+1/2,-z'
'x+1/2,-y+1/2,z'
loop_
_atom_site_label
_atom_site_fract_x
_atom_site_fract_y
_atom_site_fract_z
_atom_site_occupancy
K1 0.0000 0.0000 0.0000 1
K2 0.0000 0.5000 0.0000 1
K3 0.2500 0.2500 0.0000 1
Ce1 0.0000 0.0000 0.5000 1
Ce2 0.2500 0.2500 0.5000 1
Ni1 0.0000 0.5000 0.5000 1
S1 0.0175 0.2694 0.3140 1
S2 0.2337 0.0000 0.7084 1
S3 0.2486 0.5000 0.7144 1
```

# 2
VASP calculation (GGA-PBE) on a geometry-optimized KCe2NiS5 structure.

CIF file:
```
data_KCe2NiS5
_cell_length_a 4.4228
_cell_length_b 6.9616
_cell_length_c 13.4128
_cell_angle_alpha 90.00
_cell_angle_beta 90.00
_cell_angle_gamma 90.00
_space_group_name_H-M_alt 'I m m m'
_space_group_IT_number 71
_space_group_name_Hall '-I 2 2'
loop_
_atom_site_label
_atom_site_fract_x
_atom_site_fract_y
_atom_site_fract_z
_atom_site_occupancy
K1 0.0000 0.0000 0.0000 1
Ce1 0.0000 0.5000 0.1991 1
Ni1 0.0000 0.0000 0.5000 1
S1 0.0000 0.2384 0.3552 1
S2 0.0000 0.5000 0.0000 1
```

# 3
VASP calculation (GGA-PBE) on a geometry-optimized KCe4Ni3S12 structure.

CIF file:
```
data_KCe4Ni3S12
_cell_length_a 9.7873
_cell_length_b 9.7873
_cell_length_c 9.7873
_cell_angle_alpha 90.00
_cell_angle_beta 90.00
_cell_angle_gamma 90.00
_space_group_name_H-M_alt 'I m -3'
_space_group_IT_number 204
_space_group_name_Hall '-I 2 2 3'
loop_
_atom_site_label
_atom_site_fract_x
_atom_site_fract_y
_atom_site_fract_z
_atom_site_occupancy
K1 0.0000 0.0000 0.0000 1
Ce1 0.2500 0.2500 0.2500 1
Ni1 0.0000 0.0000 0.5000 1
S1 0.0000 0.1535 0.3324 1
```

| no. | formation energy (no corrections) (eV/atom) | magnetization (μB/atom) |
| --- | --- | --- |
| 1 | -1.46 | 0.06 |
| 2 | -1.45 | 0.01 |
| 3 | -1.08 | 0.06 |